Density functional theory data (GGA-PBE) for a relaxed Mg3CdSb crystal.

The density of states at the Fermi level comes out at 4.08 states/eV/f.u. The formation energy without anion corrections comes out at 0.28 eV/atom. As for the energy: -1.6799 eV/atom. The space group is Pm-3m. The value obtained for the magnetic moment is 0.00 μB per formula unit.

a b c (Å): 5.2048 5.2048 5.2048
angles (deg): 90.00 90.00 90.00
Sites, in units of the cell vectors:
Mg: 0.5000 0.0000 0.0000
Mg: 0.0000 0.0000 0.5000
Mg: 0.0000 0.5000 0.0000
Sb: 0.5000 0.5000 0.5000
Cd: 0.0000 0.0000 0.0000

***

Density functional theory data (GGA-PBE) for a relaxed Mg2Cd2Sb crystal.

The density of states at the Fermi level comes out at 1.95 states/eV/f.u. The formation energy without anion corrections comes out at -0.02 eV/atom. The energy relative to the lowest polymorph listed for this composition comes out at 0.000 eV per atom. As for the energy: -1.8502 eV/atom. The space group is P4/mbm. The value obtained for the magnetic moment is 0.00 μB per formula unit.

a b c (Å): 8.2872 8.2872 3.3959
angles (deg): 90.00 90.00 90.00
Sites, in units of the cell vectors:
Cd: 0.1258 0.3742 0.0000
Cd: 0.3742 0.8742 0.0000
Cd: 0.6258 0.1258 0.0000
Cd: 0.8742 0.6258 0.0000
Mg: 0.3266 0.1734 0.5000
Mg: 0.8266 0.3266 0.5000
Mg: 0.6734 0.8266 0.5000
Mg: 0.1734 0.6734 0.5000
Sb: 0.0000 0.0000 0.0000
Sb: 0.5000 0.5000 0.0000

***

Density functional theory data (GGA-PBE) for a relaxed Mg14CdSb crystal.

The density of states at the Fermi level comes out at 6.91 states/eV/f.u. The formation energy without anion corrections comes out at -0.05 eV/atom. The energy relative to the lowest polymorph listed for this composition comes out at 0.000 eV per atom. As for the energy: -1.7594 eV/atom. The space group is P-6m2. The value obtained for the magnetic moment is 0.00 μB per formula unit.

a b c (Å): 6.4022 6.4022 10.2496
angles (deg): 90.00 90.00 120.00
Sites, in units of the cell vectors:
Mg: 0.5008 0.4992 0.0000
Mg: 0.5008 0.0016 0.0000
Mg: 0.1684 0.3369 0.2488
Mg: 0.5001 0.4999 0.5000
Mg: 0.1684 0.8316 0.2488
Mg: 0.6631 0.8316 0.2488
Mg: 0.9998 0.4999 0.5000
Mg: 0.1684 0.8316 0.7512
Mg: 0.6667 0.3333 0.7463
Mg: 0.9984 0.4992 0.0000
Mg: 0.6667 0.3333 0.2537
Mg: 0.6631 0.8316 0.7512
Mg: 0.1684 0.3369 0.7512
Mg: 0.5001 0.0002 0.5000
Cd: 0.0000 0.0000 0.0000
Sb: 0.0000 0.0000 0.5000

***

Density functional theory data (GGA-PBE) for a relaxed MgCd2Sb crystal.

The density of states at the Fermi level comes out at 1.49 states/eV/f.u. The formation energy without anion corrections comes out at -0.04 eV/atom. As for the energy: -1.9236 eV/atom. The space group is Pmm2. The value obtained for the magnetic moment is 0.00 μB per formula unit.

a b c (Å): 3.3185 4.4347 6.5193
angles (deg): 90.00 90.00 90.00
Sites, in units of the cell vectors:
Cd: 0.5000 0.5000 0.2410
Cd: 0.0000 0.0000 0.0248
Sb: 0.5000 0.5000 0.7243
Mg: 0.0000 0.0000 0.5099

***

Density functional theory data (GGA-PBE) for a relaxed MgCd2Sb crystal.

The density of states at the Fermi level comes out at 1.81 states/eV/f.u. The formation energy without anion corrections comes out at -0.05 eV/atom. As for the energy: -1.9353 eV/atom. The space group is I4/mmm. The value obtained for the magnetic moment is 0.00 μB per formula unit.

a b c (Å): 5.9374 5.9374 5.9374
angles (deg): 137.25 137.25 62.05
Sites, in units of the cell vectors:
Cd: 0.5000 0.5000 0.0000
Cd: 0.0000 0.0000 0.0000
Sb: 0.7500 0.2500 0.5000
Mg: 0.2500 0.7500 0.5000

***

Density functional theory data (GGA-PBE) for a relaxed MgCd2Sb crystal.

The density of states at the Fermi level comes out at 1.96 states/eV/f.u. The formation energy without anion corrections comes out at -0.02 eV/atom. As for the energy: -1.9060 eV/atom. The space group is P4mm. The value obtained for the magnetic moment is 0.00 μB per formula unit.

a b c (Å): 4.0035 4.0035 6.0737
angles (deg): 90.00 90.00 90.00
Sites, in units of the cell vectors:
Mg: 0.0000 0.0000 0.5187
Sb: 0.5000 0.5000 0.7265
Cd: 0.0000 0.0000 0.0201
Cd: 0.5000 0.5000 0.2347

***

Density functional theory data (GGA-PBE) for a relaxed MgCdSb2 crystal.

The density of states at the Fermi level comes out at 2.90 states/eV/f.u. The formation energy without anion corrections comes out at 0.11 eV/atom. The energy relative to the lowest polymorph listed for this composition comes out at 0.171 eV per atom. As for the energy: -2.5815 eV/atom. The space group is F-43m. The value obtained for the magnetic moment is 0.00 μB per formula unit.

a b c (Å): 5.2482 5.2482 5.2482
angles (deg): 60.00 60.00 60.00
Sites, in units of the cell vectors:
Mg: 0.7500 0.7500 0.7500
Sb: 0.0000 0.0000 0.0000
Sb: 0.2500 0.2500 0.2500
Cd: 0.5000 0.5000 0.5000

***

Density functional theory data (GGA-PBE) for a relaxed Mg3Cd2Sb3 crystal.

The density of states at the Fermi level comes out at 1.59 states/eV/f.u. The formation energy without anion corrections comes out at -0.10 eV/atom. As for the energy: -2.4762 eV/atom. The space group is Cm. The value obtained for the magnetic moment is 0.00 μB per formula unit.

a b c (Å): 4.8849 7.9254 14.8233
angles (deg): 90.72 90.00 107.95
Sites, in units of the cell vectors:
Mg: 0.7447 0.4895 0.2472
Mg: 0.7423 0.4846 0.5539
Mg: 0.9288 0.8577 0.8987
Mg: 0.0355 0.0710 0.0960
Mg: 0.0481 0.0962 0.4027
Mg: 0.2230 0.4460 0.7449
Sb: 0.8230 0.6459 0.7470
Sb: 0.8628 0.7256 0.3985
Sb: 0.1463 0.2927 0.2440
Sb: 0.8500 0.7000 0.0737
Sb: 0.1140 0.2279 0.9172
Sb: 0.1461 0.2922 0.5661
Cd: 0.2513 0.5026 0.0766
Cd: 0.7140 0.4280 0.9142
Cd: 0.9611 0.9223 0.6110
Cd: 0.3889 0.7778 0.5127

***

Density functional theory data (GGA-PBE) for a relaxed Mg2CdSb crystal.

The density of states at the Fermi level comes out at 1.58 states/eV/f.u. The formation energy without anion corrections comes out at -0.12 eV/atom. The energy relative to the lowest polymorph listed for this composition comes out at 0.031 eV per atom. As for the energy: -2.1781 eV/atom. The space group is I-4m2. The value obtained for the magnetic moment is 0.00 μB per formula unit.

a b c (Å): 5.8843 5.8843 5.8843
angles (deg): 137.12 137.12 62.25
Sites, in units of the cell vectors:
Sb: 0.5000 0.5000 0.0000
Cd: 0.7500 0.2500 0.5000
Mg: 0.2500 0.7500 0.5000
Mg: 0.0000 0.0000 0.0000

***

Density functional theory data (GGA-PBE) for a relaxed Mg2CdSb crystal.

The density of states at the Fermi level comes out at 3.07 states/eV/f.u. The formation energy without anion corrections comes out at 0.03 eV/atom. The energy relative to the lowest polymorph listed for this composition comes out at 0.186 eV per atom. As for the energy: -2.0232 eV/atom. The space group is F-43m. The value obtained for the magnetic moment is 0.00 μB per formula unit.

a b c (Å): 5.1780 5.1780 5.1780
angles (deg): 60.00 60.00 60.00
Sites, in units of the cell vectors:
Mg: 0.2500 0.2500 0.2500
Mg: 0.0000 0.0000 0.0000
Sb: 0.7500 0.7500 0.7500
Cd: 0.5000 0.5000 0.5000

***

Density functional theory data (GGA-PBE) for a relaxed MgCdSb2 crystal.

The density of states at the Fermi level comes out at 1.80 states/eV/f.u. The formation energy without anion corrections comes out at 0.01 eV/atom. The energy relative to the lowest polymorph listed for this composition comes out at 0.072 eV per atom. As for the energy: -2.6803 eV/atom. The space group is Immm. The value obtained for the magnetic moment is 0.00 μB per formula unit.

a b c (Å): 5.6067 5.6067 5.6067
angles (deg): 134.03 124.62 74.74
Sites, in units of the cell vectors:
Sb: 0.4984 0.4984 0.0000
Sb: 0.0016 0.0016 0.0000
Cd: 0.7500 0.2500 0.5000
Mg: 0.2500 0.7500 0.5000

***

Density functional theory data (GGA-PBE) for a relaxed Mg2CdSb crystal.

The density of states at the Fermi level comes out at 1.43 states/eV/f.u. The formation energy without anion corrections comes out at -0.09 eV/atom. The energy relative to the lowest polymorph listed for this composition comes out at 0.064 eV per atom. As for the energy: -2.1447 eV/atom. The space group is Cm. The value obtained for the magnetic moment is 0.00 μB per formula unit.

a b c (Å): 5.7584 5.7584 5.2004
angles (deg): 81.75 81.75 33.67
Sites, in units of the cell vectors:
Mg: 0.7492 0.7492 0.7219
Mg: 0.0014 0.0014 0.0370
Cd: 0.2553 0.2553 0.2003
Sb: 0.4941 0.4941 0.5409

***

Density functional theory data (GGA-PBE) for a relaxed MgCdSb2 crystal.

The density of states at the Fermi level comes out at 1.46 states/eV/f.u. The formation energy without anion corrections comes out at -0.05 eV/atom. The energy relative to the lowest polymorph listed for this composition comes out at 0.010 eV per atom. As for the energy: -2.7425 eV/atom. The space group is R3m. The value obtained for the magnetic moment is 0.00 μB per formula unit.

a b c (Å): 4.6099 4.6099 6.5658
angles (deg): 69.45 69.45 60.00
Sites, in units of the cell vectors:
Mg: 0.6701 0.6701 0.9897
Cd: 0.4998 0.4998 0.5005
Sb: 0.2531 0.2531 0.2407
Sb: 0.0769 0.0769 0.7692

***

Density functional theory data (GGA-PBE) for a relaxed MgCd2Sb crystal.

The density of states at the Fermi level comes out at 1.54 states/eV/f.u. The formation energy without anion corrections comes out at -0.03 eV/atom. As for the energy: -1.9166 eV/atom. The space group is C2/m. The value obtained for the magnetic moment is 0.00 μB per formula unit.

a b c (Å): 4.9823 6.6067 3.3464
angles (deg): 74.65 91.74 112.63
Sites, in units of the cell vectors:
Sb: 0.5000 0.5000 0.0000
Cd: 0.0000 0.0000 0.0000
Cd: 0.5000 0.0000 0.5000
Mg: 0.0000 0.5000 0.5000